No. 1
A plane-wave DFT calculation with GGA-PBE was carried out for a geometry-optimized CdH5N2F3 structure.

Unit cell a=13.850 b=4.429 c=6.454 alpha=90.00 beta=90.00 gamma=90.00
Space group Pnma (No. 62)
Asymmetric unit:
Cd  0.031  0.250  0.199 x4
H  0.128  0.556  0.588 x8
H  0.186  0.555  0.926 x8
H  0.240  0.250  0.263 x4
N  0.119  0.750  0.678 x4
N  0.193  0.750  0.833 x4
F  0.037  0.750  0.136 x4
F  0.129  0.250  0.466 x4
F  0.174  0.250  0.038 x4

Values from the calculation:
- final energy (eV per atom) = -4.6726
- calculated density (g/cm³) = 3.397

***

No. 2
A plane-wave DFT calculation with GGA-PBE was carried out for a geometry-optimized ErAgSeS structure.

Unit cell a=9.121 b=9.630 c=4.165 alpha=90.00 beta=90.00 gamma=90.00
Space group Cmm2 (No. 35)
Asymmetric unit:
Er  0.000  0.000  0.000 x2
Er  0.000  0.500  0.421 x2
Ag  0.250  0.250  0.168 x4
Se  0.000  0.203  0.493 x4
S  0.199  0.500  0.933 x4

Values from the calculation:
- final energy (eV per atom) = -5.0177
- calculated density (g/cm³) = 7.011
- total magnetization (μB per formula unit) = 0.0

***

No. 3
A plane-wave DFT calculation with GGA-PBE was carried out for a geometry-optimized Tb2ErTlCd3Ga2 structure.

Unit cell a=4.517 b=12.689 c=7.352 alpha=90.00 beta=90.00 gamma=90.00
Space group Amm2 (No. 38)
Asymmetric unit:
Tb  0.000  0.217  0.000 x4
Er  0.000  0.000  0.651 x2
Tl  0.000  0.000  0.219 x2
Cd  0.500  0.000  0.956 x2
Cd  0.500  0.131  0.347 x4
Ga  0.500  0.166  0.717 x4

Values from the calculation:
- final energy (eV per atom) = -3.2159
- calculated density (g/cm³) = 9.192
- total magnetization (μB per formula unit) = 0.0

***

No. 4
A plane-wave DFT calculation with GGA-PBE was carried out for a geometry-optimized Li2IrO4 structure.

Unit cell a=8.372 b=8.372 c=8.372 alpha=90.00 beta=90.00 gamma=90.00
Space group Fd-3m (No. 227, origin choice 2)
Asymmetric unit:
Li  0.000  0.000  0.000 x16
Ir  0.125  0.125  0.625 x8
O  0.001  0.001  0.249 x32

Values from the calculation:
- energy above the most stable polymorph in this dataset (meV/atom) = 186
- final energy (eV per atom) = -5.6992
- calculated density (g/cm³) = 6.114
- total magnetization (μB per formula unit) = 1.0

***

No. 5
A plane-wave DFT calculation with GGA-PBE was carried out for a geometry-optimized PaTcNi structure.

Unit cell a=6.064 b=6.064 c=6.064 alpha=90.00 beta=90.00 gamma=90.00
Space group F-43m (No. 216)
Asymmetric unit:
Pa  0.000  0.000  0.000 x4
Tc  0.000  0.000  0.500 x4
Ni  0.250  0.250  0.750 x4

Values from the calculation:
- energy above the most stable polymorph in this dataset (meV/atom) = 0
- final energy (eV per atom) = -8.3892
- calculated density (g/cm³) = 11.550
- total magnetization (μB per formula unit) = 0.0

***

No. 6
A plane-wave DFT calculation with GGA-PBE was carried out for a geometry-optimized LiTaSeO structure.

Unit cell a=3.1486 b=3.1486 c=12.7448 alpha=90.00 beta=90.00 gamma=120.00
Space group P-6m2 (No. 187)
Asymmetric unit:
Li  0.0000  0.0000  0.2143 x2
Ta  0.0000  0.0000  0.0000 x1
Ta  0.0000  0.0000  0.5000 x1
Se  0.6667  0.3333  0.3582 x2
O  0.3333  0.6667  0.1014 x2

Values from the calculation:
- energy above the most stable polymorph in this dataset (meV/atom) = 9
- final energy (eV per atom) = -6.9779
- calculated density (g/cm³) = 8.585
- total magnetization (μB per formula unit) = 0.0

***

Q: final energy of number 1 (CdH5N2F3)?
A: -4.6726 eV per atom

***

Q: Which of these has the highest calculated density?
A: PaTcNi

***

Q: calculated density of number 4 (Li2IrO4)?
A: 6.114 g/cm³